[1]
VASP calculation (PBE-GGA) on a geometry-optimized MnN2Cl2 structure.

abc: 6.463 3.723 10.457
angles: 90.00 92.28 90.00
Space group C2/m (No. 12)
Inequivalent atoms, fractional coordinates:
1 Mn 0.000 0.000 0.000 x2
2 N 0.035 0.000 0.452 x4
3 Cl 0.158 0.500 0.868 x4

**Density of states at the Fermi level**: 0.00 states/eV/cell
**Theoretical density**: 2032 kg/m3
**Raw formation energy**: -647 meV/atom
**Electronic total energy**: -6.550 eV/atom

[2]
VASP calculation (PBE-GGA) on a geometry-optimized In2TeCl structure.

abc: 8.032 8.032 8.390
angles: 90.00 90.00 90.00
Space group I-42d (No. 122)
Inequivalent atoms, fractional coordinates:
1 In 0.243 0.750 0.125 x8
2 Te 0.000 0.000 0.500 x4
3 Cl 0.000 0.000 0.000 x4

**Density of states at the Fermi level**: 12.50 states/eV/cell
**ΔE to the lowest computed polymorph**: 203 meV per atom
**Theoretical density**: 4819 kg/m3
**Raw formation energy**: -342 meV/atom
**Electronic total energy**: -2.959 eV/atom

[3]
VASP calculation (PBE-GGA) on a geometry-optimized SrOsO2 structure.

abc: 4.643 4.643 12.051
angles: 90.00 90.00 90.00
Space group I-42d (No. 122)
Inequivalent atoms, fractional coordinates:
1 Sr 0.000 0.000 0.000 x4
2 Os 0.000 0.000 0.500 x4
3 O 0.143 0.250 0.625 x8

**Density of states at the Fermi level**: 6.89 states/eV/cell
**ΔE to the lowest computed polymorph**: 202 meV per atom
**Theoretical density**: 7922 kg/m3
**Raw formation energy**: -951 meV/atom
**Electronic total energy**: -6.658 eV/atom

[4]
VASP calculation (PBE-GGA) on a geometry-optimized LaNdTm2Tl4 structure.

abc: 5.4460 5.4460 26.7587
angles: 90.00 90.00 120.00
Space group R-3m (No. 166, hexagonal axes)
Inequivalent atoms, fractional coordinates:
1 La 0.0000 0.0000 0.0000 x3
2 Nd 0.0000 0.0000 0.5000 x3
3 Tm 0.0000 0.0000 0.2498 x6
4 Tl 0.0000 0.0000 0.1258 x6
5 Tl 0.0000 0.0000 0.3759 x6

**Density of states at the Fermi level**: 18.55 states/eV/cell
**Theoretical density**: 10427 kg/m3
**Electronic total energy**: -3.860 eV/atom

[5]
VASP calculation (PBE-GGA) on a geometry-optimized ErCl structure.

abc: 3.581 3.581 8.803
angles: 90.00 90.74 90.00
Space group P2_1/m (No. 11)
Inequivalent atoms, fractional coordinates:
1 Er 0.245 0.250 0.362 x2
2 Cl 0.260 0.250 0.796 x2

**Density of states at the Fermi level**: 1.94 states/eV/cell
**Theoretical density**: 5963 kg/m3
**Raw formation energy**: -1365 meV/atom
**Electronic total energy**: -4.570 eV/atom